A plane-wave DFT calculation with PBE was carried out for a geometry-optimized Ba6TeP2Cl3 structure.

a b c (Å): 4.7169 9.4357 10.4857
angles (deg): 101.66 103.00 90.00
With the nearest neighbours (Å) after each atom.
Fractional positions:
1 Ba 0.3292 0.8891 0.6585  2 P 3.18, 3 Cl 3.28-3.50, 1 Te 3.43
2 Ba 0.6733 0.5699 0.3465  3 P 3.21-3.22, 3 Cl 3.46-3.47
3 Ba 0.6708 0.1109 0.3415  2 P 3.18, 3 Cl 3.28-3.50, 1 Te 3.43
4 Ba 0.0098 0.2622 0.0196  1 P 3.14, 3 Cl 3.29-3.51, 2 Te 3.39
5 Ba 0.9902 0.7378 0.9804  1 P 3.14, 3 Cl 3.29-3.51, 2 Te 3.39
6 Ba 0.3267 0.4301 0.6535  3 P 3.21-3.22, 3 Cl 3.46-3.47
7 Te 0.5000 0.0000 0.0000  6 Ba 3.39-3.43
8 P 0.8333 0.6646 0.6667  6 Ba 3.14-3.22
9 P 0.1667 0.3354 0.3333  6 Ba 3.14-3.22
10 Cl 0.5000 0.5000 0.0000  6 Ba 3.29-3.46
11 Cl 0.8345 0.1649 0.6691  6 Ba 3.28-3.51
12 Cl 0.1655 0.8351 0.3309  6 Ba 3.28-3.51

Properties
Formation energy (no corrections), eV/f.u.: -20.52

=====

A plane-wave DFT calculation with PBE was carried out for a geometry-optimized LiSc2Tl5 structure.

a b c (Å): 6.3492 6.3492 6.3492
angles (deg): 109.96 109.97 108.49
With the nearest neighbours (Å) after each atom.
Fractional positions:
1 Li 0.7790 0.7790 0.0000  8 Tl 3.17-3.18
2 Sc 0.2778 0.7778 0.5003  8 Tl 3.17-3.18
3 Sc 0.7775 0.2776 0.4998  8 Tl 3.17-3.18
4 Tl 0.2781 0.2782 0.5006  2 Li 3.17-3.18, 4 Sc 3.17-3.18, 2 Tl 3.17
5 Tl 0.2779 0.7773 0.0000  2 Li 3.17-3.18, 4 Sc 3.17-3.18, 2 Tl 3.17
6 Tl 0.7778 0.2784 0.0000  2 Li 3.17-3.18, 4 Sc 3.17-3.18, 2 Tl 3.17-3.18
7 Tl 0.7775 0.7776 0.4994  2 Li 3.17-3.18, 4 Sc 3.17-3.18, 2 Tl 3.17
8 Tl 0.2773 0.2771 0.0000  8 Tl 3.17-3.18

Properties
Energy of formation, eV/atom: -0.1407